(1)
The following is a GGA-PBE calculation of Ga8Mo after structural relaxation, from OQMD via LeMat-Bulk.

- Final energy: -3.82 eV/atom

a b c (Å): 6.686 6.686 6.686
angles (deg): 94.35 94.35 148.04
Atoms (fractional coordinates):
1 Ga 0.000 0.325 0.325
2 Ga 0.000 0.675 0.675
3 Ga 0.325 0.000 0.325
4 Ga 0.340 0.340 0.681
5 Ga 0.340 0.660 0.000
6 Ga 0.660 0.340 0.000
7 Ga 0.660 0.660 0.319
8 Ga 0.675 0.000 0.675
9 Mo 0.000 0.000 0.000

(2)
The following is a GGA-PBE calculation of KZn2Cd2P3 after structural relaxation, from OQMD via LeMat-Bulk.

- Excess energy over the best structure of this formula in the dataset: 56 meV/atom

a b c (Å): 11.559 11.559 11.559
angles (deg): 21.53 21.53 21.53
Atoms (fractional coordinates):
1 K 0.000 0.000 0.000
2 Zn 0.196 0.196 0.196
3 Zn 0.804 0.804 0.804
4 Cd 0.414 0.414 0.414
5 Cd 0.586 0.586 0.586
6 P 0.267 0.267 0.267
7 P 0.500 0.500 0.500
8 P 0.733 0.733 0.733

(3)
The following is a GGA-PBE calculation of LaDyTh after structural relaxation, from OQMD via LeMat-Bulk.

- Excess energy over the best structure of this formula in the dataset: 0 meV/atom

a b c (Å): 5.456 5.456 5.456
angles (deg): 60.00 60.00 60.00
Atoms (fractional coordinates):
1 La 0.000 0.000 0.000
2 Dy 0.250 0.250 0.250
3 Th 0.500 0.500 0.500

(4)
The following is a GGA-PBE calculation of TmScOs after structural relaxation, from OQMD via LeMat-Bulk.

- Excess energy over the best structure of this formula in the dataset: 206 meV/atom

a b c (Å): 4.571 4.571 4.571
angles (deg): 60.00 60.00 60.00
Atoms (fractional coordinates):
1 Tm 0.000 0.000 0.000
2 Sc 0.250 0.250 0.250
3 Os 0.750 0.750 0.750